[1]
Below is an optimized crystal structure of La3NdDy6Er2, with properties calculated at the PBE level.

a = 6.238 Å, b = 6.238 Å, c = 11.895 Å
α = 95.02°, β = 95.02°, γ = 119.99°
Sites, in units of the cell vectors:
La1 0.000 0.000 0.000
La2 0.333 0.667 0.000
La3 0.667 0.333 0.000
Nd1 0.500 0.500 0.500
Dy1 0.084 0.419 0.255
Dy2 0.247 0.247 0.745
Dy3 0.419 0.084 0.255
Dy4 0.581 0.916 0.745
Dy5 0.753 0.753 0.255
Dy6 0.916 0.581 0.745
Er1 0.167 0.833 0.500
Er2 0.833 0.167 0.500

Output
The total energy is -4.670 eV/atom. The calculation puts the energy relative to the elements at 0.021 eV/atom. The space-group type is C2/m. For the mass density, the calculation gives 7.87 g/cm³. The calculation puts the magnetic moment at 0.0 Bohr magnetons per cell.

=====

[2]
Below is an optimized crystal structure of LaDy2ErP4, with properties calculated at the PBE level.

a = 7.041 Å, b = 4.069 Å, c = 7.044 Å
α = 90.00°, β = 109.42°, γ = 90.00°
Sites, in units of the cell vectors:
La1 0.000 0.000 0.000
Dy1 0.000 0.500 0.500
Dy2 0.500 0.000 0.500
Er1 0.500 0.500 0.000
P1 0.256 0.000 0.747
P2 0.260 0.500 0.259
P3 0.740 0.500 0.741
P4 0.744 0.000 0.253

Output
The total energy is -6.623 eV/atom. The calculation puts the energy relative to the elements at -1.581 eV/atom. The space-group type is P2/m. For the mass density, the calculation gives 6.59 g/cm³. The calculation puts the magnetic moment at 0.0 Bohr magnetons per cell.

=====

[3]
Below is an optimized crystal structure of La3DyEr2P6, with properties calculated at the PBE level.

a = 7.153 Å, b = 7.153 Å, c = 7.149 Å
α = 99.60°, β = 99.60°, γ = 120.00°
Sites, in units of the cell vectors:
La1 0.000 0.000 0.000
La2 0.334 0.666 0.000
La3 0.666 0.334 0.000
Dy1 0.500 0.500 0.500
Er1 0.167 0.833 0.500
Er2 0.833 0.167 0.500
P1 0.087 0.422 0.265
P2 0.244 0.244 0.735
P3 0.422 0.087 0.265
P4 0.578 0.913 0.735
P5 0.756 0.756 0.265
P6 0.913 0.578 0.735

Output
The total energy is -6.658 eV/atom. The calculation puts the energy relative to the elements at -1.577 eV/atom. The space-group type is C2/m. For the mass density, the calculation gives 6.11 g/cm³. The calculation puts the magnetic moment at 0.0 Bohr magnetons per cell.